(1)
A plane-wave DFT calculation with PBE was carried out for crystalline ZrS at its relaxed geometry.

The density of states at the Fermi level is 0.5490 states/eV per atom. Its crystal system is tetragonal. The value obtained for the final energy is -7.780 eV/atom. As for the formation energy without anion corrections: -1443 meV/atom. The total moment is 0.0 μB/cell.

It has space group P4/nmm (No. 129, origin choice 2), with a = 3.6150 Å, b = 3.6150 Å, c = 5.5606 Å, α = 90.00°, β = 90.00° and γ = 90.00°. Symmetry generates all atoms from Zr at (0.2500, 0.2500, 0.1860) and S at (0.2500, 0.2500, 0.7030).



(2)
A plane-wave DFT calculation with PBE was carried out for crystalline ZrS at its relaxed geometry.

The density of states at the Fermi level is 0.1179 states/eV per atom. Its crystal system is hexagonal. The value obtained for the final energy is -7.423 eV/atom. As for the formation energy without anion corrections: -1085 meV/atom. The total moment is 0.0 μB/cell.

It has space group P6_3mc (No. 186), with a = 3.5369 Å, b = 3.5369 Å, c = 8.0752 Å, α = 90.00°, β = 90.00° and γ = 120.00°. Symmetry generates all atoms from Zr at (0.3333, 0.6667, 0.0000) and S at (0.3333, 0.6667, 0.6908).



(3)
A plane-wave DFT calculation with PBE was carried out for crystalline ZrS at its relaxed geometry.

The density of states at the Fermi level is 0.0144 states/eV per atom. Its crystal system is tetragonal. The value obtained for the final energy is -7.949 eV/atom. As for the formation energy without anion corrections: -1611 meV/atom. The total moment is 0.0 μB/cell.

It has space group I4_1md (No. 109), with a = 3.4546 Å, b = 3.4546 Å, c = 12.0765 Å, α = 90.00°, β = 90.00° and γ = 90.00°. Symmetry generates all atoms from Zr at (0.0000, 0.0000, 0.0000) and S at (0.0000, 0.0000, 0.4166).



(4)
A plane-wave DFT calculation with PBE was carried out for crystalline Zr3S2 at its relaxed geometry.

The density of states at the Fermi level is 0.4362 states/eV per atom. Its crystal system is trigonal. The value obtained for the final energy is -7.841 eV/atom. As for the formation energy without anion corrections: -1062 meV/atom. The calculation puts the energy above the most stable polymorph in this dataset at 0.095 eV/atom. The total moment is 0.0 μB/cell.

It has space group R32 (No. 155, hexagonal axes), with a = 5.7943 Å, b = 5.7943 Å, c = 10.4924 Å, α = 90.00°, β = 90.00° and γ = 120.00°. Symmetry generates all atoms from Zr at (0.0000, 0.3386, 0.0000) and S at (0.0000, 0.0000, 0.1650).



(5)
A plane-wave DFT calculation with PBE was carried out for crystalline ZrS at its relaxed geometry.

The density of states at the Fermi level is 0.5240 states/eV per atom. Its crystal system is orthorhombic. The value obtained for the final energy is -7.725 eV/atom. As for the formation energy without anion corrections: -1387 meV/atom. The total moment is 0.0 μB/cell.

It has space group P2_12_12_1 (No. 19), with a = 5.1787 Å, b = 5.2425 Å, c = 10.6780 Å, α = 90.00°, β = 90.00° and γ = 90.00°. Symmetry generates all atoms from Zr at (0.2451, 0.0190, 0.2898), Zr at (0.2466, 0.4584, 0.4989), S at (0.2465, 0.4825, 0.7500) and S at (0.2466, 0.9619, 0.5320).



(6)
A plane-wave DFT calculation with PBE was carried out for crystalline ZrS at its relaxed geometry.

The density of states at the Fermi level is 0.4693 states/eV per atom. Its crystal system is tetragonal. The value obtained for the final energy is -7.710 eV/atom. As for the formation energy without anion corrections: -1372 meV/atom. The total moment is 0.0 μB/cell.

It has space group P4_2/mnm (No. 136), with a = 5.2404 Å, b = 5.2404 Å, c = 5.2577 Å, α = 90.00°, β = 90.00° and γ = 90.00°. Symmetry generates all atoms from Zr at (0.2187, 0.2187, 0.0000) and S at (0.2225, 0.2225, 0.5000).



(7)
A plane-wave DFT calculation with PBE was carried out for crystalline ZrS at its relaxed geometry.

The density of states at the Fermi level is 0.8383 states/eV per atom. Its crystal system is orthorhombic. The value obtained for the final energy is -7.582 eV/atom. As for the formation energy without anion corrections: -1244 meV/atom. The total moment is 0.0 μB/cell.

It has space group Pmmn (No. 59, origin choice 2), with a = 3.6166 Å, b = 12.3782 Å, c = 6.0370 Å, α = 90.00°, β = 90.00° and γ = 90.00°. Symmetry generates all atoms from Zr at (0.2500, 0.1172, 0.0112), Zr at (0.2500, 0.7500, 0.3529), S at (0.2500, 0.2500, 0.3366) and S at (0.2500, 0.5506, 0.2605).



(8)
A plane-wave DFT calculation with PBE was carried out for crystalline ZrS at its relaxed geometry.

The density of states at the Fermi level is 0.5717 states/eV per atom. Its crystal system is orthorhombic. The value obtained for the final energy is -7.731 eV/atom. As for the formation energy without anion corrections: -1393 meV/atom. The total moment is 0.0 μB/cell.

It has space group Fddd (No. 70, origin choice 2), with a = 7.4574 Å, b = 7.4857 Å, c = 10.3787 Å, α = 90.00°, β = 90.00° and γ = 90.00°. Symmetry generates all atoms from Zr at (0.1250, 0.3332, 0.1250) and S at (0.0911, 0.3750, 0.8750).



(9)
A plane-wave DFT calculation with PBE was carried out for crystalline ZrS at its relaxed geometry.

The density of states at the Fermi level is 0.2662 states/eV per atom. Its crystal system is orthorhombic. The value obtained for the final energy is -7.537 eV/atom. As for the formation energy without anion corrections: -1199 meV/atom. The total moment is 0.0 μB/cell.

It has space group Amm2 (No. 38), with a = 3.6952 Å, b = 11.5651 Å, c = 6.7572 Å, α = 90.00°, β = 90.00° and γ = 90.00°. Symmetry generates all atoms from Zr at (0.0000, 0.0000, 0.0000), Zr at (0.5000, 0.2045, 0.8663), S at (0.0000, 0.2081, 0.1330) and S at (0.5000, 0.0000, 0.7333).



(10)
A plane-wave DFT calculation with PBE was carried out for crystalline Zr3S4 at its relaxed geometry.

The density of states at the Fermi level is 0.5397 states/eV per atom. Its crystal system is orthorhombic. The value obtained for the final energy is -7.588 eV/atom. As for the formation energy without anion corrections: -1566 meV/atom. The calculation puts the energy above the most stable polymorph in this dataset at 0.000 eV/atom. The total moment is 0.0 μB/cell.

It has space group Cmmm (No. 65), with a = 7.4252 Å, b = 10.2154 Å, c = 3.6644 Å, α = 90.00°, β = 90.00° and γ = 90.00°. Symmetry generates all atoms from Zr at (0.0000, 0.0000, 0.0000), Zr at (0.2500, 0.2500, 0.5000), S at (0.0000, 0.2619, 0.0000) and S at (0.2459, 0.5000, 0.5000).



(11)
A plane-wave DFT calculation with PBE was carried out for crystalline ZrS at its relaxed geometry.

The density of states at the Fermi level is 1.0186 states/eV per atom. Its crystal system is cubic. The value obtained for the final energy is -7.285 eV/atom. As for the formation energy without anion corrections: -947 meV/atom. The total moment is 0.0 μB/cell.

It has space group F-43m (No. 216), with a = 5.7618 Å, b = 5.7618 Å, c = 5.7618 Å, α = 90.00°, β = 90.00° and γ = 90.00°. Symmetry generates all atoms from Zr at (0.0000, 0.0000, 0.0000) and S at (0.2500, 0.2500, 0.2500).



(12)
A plane-wave DFT calculation with PBE was carried out for crystalline Zr21S8 at its relaxed geometry.

The density of states at the Fermi level is 0.7596 states/eV per atom. Its crystal system is tetragonal. The value obtained for the final energy is -8.227 eV/atom. As for the formation energy without anion corrections: -898 meV/atom. The total moment is 0.0 μB/cell.

It has space group I4/m (No. 87), with a = 18.0562 Å, b = 18.0562 Å, c = 3.5422 Å, α = 90.00°, β = 90.00° and γ = 90.00°. Symmetry generates all atoms from Zr at (0.0000, 0.0000, 0.0000), Zr at (0.0342, 0.2731, 0.0000), Zr at (0.0453, 0.8640, 0.5000), Zr at (0.0487, 0.4167, 0.5000), Zr at (0.1038, 0.6914, 0.5000), Zr at (0.1946, 0.8007, 0.0000), S at (0.0671, 0.1323, 0.0000) and S at (0.1463, 0.2956, 0.5000).



(13)
A plane-wave DFT calculation with PBE was carried out for crystalline ZrS at its relaxed geometry.

The density of states at the Fermi level is 0.5794 states/eV per atom. Its crystal system is tetragonal. The value obtained for the final energy is -7.610 eV/atom. As for the formation energy without anion corrections: -1273 meV/atom. The total moment is 0.0 μB/cell.

It has space group I4/m (No. 87), with a = 10.0370 Å, b = 10.0370 Å, c = 3.6415 Å, α = 90.00°, β = 90.00° and γ = 90.00°. Symmetry generates all atoms from Zr at (0.1196, 0.3363, 0.0000) and S at (0.0999, 0.7865, 0.0000).



(14)
A plane-wave DFT calculation with PBE was carried out for crystalline Zr3S2 at its relaxed geometry.

The density of states at the Fermi level is 0.6216 states/eV per atom. Its crystal system is trigonal. The value obtained for the final energy is -7.937 eV/atom. As for the formation energy without anion corrections: -1157 meV/atom. The calculation puts the energy above the most stable polymorph in this dataset at 0.000 eV/atom. The total moment is 0.0 μB/cell.

It has space group R-3c (No. 167, hexagonal axes), with a = 6.2253 Å, b = 6.2253 Å, c = 17.8893 Å, α = 90.00°, β = 90.00° and γ = 120.00°. Symmetry generates all atoms from Zr at (0.0000, 0.3247, 0.2500) and S at (0.0000, 0.0000, 0.1601).



(15)
A plane-wave DFT calculation with PBE was carried out for crystalline ZrS3 at its relaxed geometry.

Its crystal system is monoclinic. The value obtained for the final energy is -6.434 eV/atom. As for the formation energy without anion corrections: -1202 meV/atom. The total moment is 0.0 μB/cell.

It has space group P2_1/m (No. 11), with a = 5.1976 Å, b = 3.6587 Å, c = 9.7532 Å, α = 90.00°, β = 96.71° and γ = 90.00°. Symmetry generates all atoms from Zr at (0.2185, 0.2500, 0.3566), S at (0.0165, 0.2500, 0.8072), S at (0.2611, 0.7500, 0.5506) and S at (0.3830, 0.7500, 0.1937).



(16)
A plane-wave DFT calculation with PBE was carried out for crystalline Sc5Sb4 at its relaxed geometry.

The density of states at the Fermi level is 0.5255 states/eV per atom. Its crystal system is tetragonal. The value obtained for the final energy is -6.127 eV/atom. As for the formation energy without anion corrections: -777 meV/atom. The total moment is 0.0 μB/cell.

It has space group I4/m (No. 87), with a = 11.2492 Å, b = 11.2492 Å, c = 4.1185 Å, α = 90.00°, β = 90.00° and γ = 90.00°. Symmetry generates all atoms from Sc at (0.0000, 0.0000, 0.0000), Sc at (0.1068, 0.7934, 0.5000) and Sb at (0.0781, 0.2505, 0.0000).



(17)
A plane-wave DFT calculation with PBE was carried out for crystalline Sc3Sb5 at its relaxed geometry.

The density of states at the Fermi level is 0.5714 states/eV per atom. Its crystal system is orthorhombic. The value obtained for the final energy is -5.425 eV/atom. As for the formation energy without anion corrections: -474 meV/atom. The calculation puts the energy above the most stable polymorph in this dataset at 0.031 eV/atom. The total moment is 0.0 μB/cell.

It has space group Cmmm (No. 65), with a = 8.2293 Å, b = 8.5979 Å, c = 5.6728 Å, α = 90.00°, β = 90.00° and γ = 90.00°. Symmetry generates all atoms from Sc at (0.0000, 0.0000, 0.0000), Sc at (0.0000, 0.2837, 0.5000), Sb at (0.0000, 0.5000, 0.0000), Sb at (0.2072, 0.0000, 0.5000) and Sb at (0.2500, 0.2500, 0.0000).



(18)
A plane-wave DFT calculation with PBE was carried out for crystalline Sc7Sb6 at its relaxed geometry.

The density of states at the Fermi level is 0.9114 states/eV per atom. Its crystal system is trigonal. The value obtained for the final energy is -5.708 eV/atom. As for the formation energy without anion corrections: -396 meV/atom. The total moment is 3.8 μB/cell.

It has space group R-3m (No. 166, hexagonal axes), with a = 6.2389 Å, b = 6.2389 Å, c = 29.4204 Å, α = 90.00°, β = 90.00° and γ = 120.00°. Symmetry generates all atoms from Sc at (0.0000, 0.0000, 0.0000), Sc at (0.0012, 0.5006, 0.5778), Sb at (0.0000, 0.0000, 0.1668), Sb at (0.0000, 0.0000, 0.3307) and Sb at (0.0000, 0.0000, 0.4483).



(19)
A plane-wave DFT calculation with PBE was carried out for crystalline ScSb5 at its relaxed geometry.

The density of states at the Fermi level is 0.6714 states/eV per atom. Its crystal system is tetragonal. The value obtained for the final energy is -4.520 eV/atom. As for the formation energy without anion corrections: -30 meV/atom. The calculation puts the energy above the most stable polymorph in this dataset at 0.099 eV/atom. The total moment is 0.0 μB/cell.

It has space group P4/mmm (No. 123), with a = 3.2001 Å, b = 3.2001 Å, c = 16.2672 Å, α = 90.00°, β = 90.00° and γ = 90.00°. Symmetry generates all atoms from Sc at (0.0000, 0.0000, 0.0000), Sb at (0.0000, 0.0000, 0.3408), Sb at (0.5000, 0.5000, 0.1339) and Sb at (0.5000, 0.5000, 0.5000).



(20)
A plane-wave DFT calculation with PBE was carried out for crystalline ScSb at its relaxed geometry.

Its crystal system is cubic. The value obtained for the final energy is -5.670 eV/atom. As for the formation energy without anion corrections: -443 meV/atom. The total moment is 0.0 μB/cell.

It has space group F-43m (No. 216), with a = 6.6071 Å, b = 6.6071 Å, c = 6.6071 Å, α = 90.00°, β = 90.00° and γ = 90.00°. Symmetry generates all atoms from Sc at (0.0000, 0.0000, 0.0000) and Sb at (0.2500, 0.2500, 0.7500).



(21)
A plane-wave DFT calculation with PBE was carried out for crystalline ScSb at its relaxed geometry.

The density of states at the Fermi level is 0.2570 states/eV per atom. Its crystal system is cubic. The value obtained for the final energy is -6.166 eV/atom. As for the formation energy without anion corrections: -939 meV/atom. The total moment is 0.0 μB/cell.

It has space group Fm-3m (No. 225), with a = 5.8887 Å, b = 5.8887 Å, c = 5.8887 Å, α = 90.00°, β = 90.00° and γ = 90.00°. Symmetry generates all atoms from Sc at (0.0000, 0.0000, 0.0000) and Sb at (0.0000, 0.0000, 0.5000).



(22)
A plane-wave DFT calculation with PBE was carried out for crystalline Sc5Sb at its relaxed geometry.

The density of states at the Fermi level is 1.3470 states/eV per atom. Its crystal system is orthorhombic. The value obtained for the final energy is -6.287 eV/atom. As for the formation energy without anion corrections: -324 meV/atom. The calculation puts the energy above the most stable polymorph in this dataset at 0.000 eV/atom. The total moment is 1.5 μB/cell.

It has space group Cmmm (No. 65), with a = 4.4790 Å, b = 13.9039 Å, c = 4.4931 Å, α = 90.00°, β = 90.00° and γ = 90.00°. Symmetry generates all atoms from Sc at (0.0000, 0.0000, 0.0000), Sc at (0.0000, 0.1620, 0.5000), Sc at (0.0000, 0.3286, 0.0000) and Sb at (0.0000, 0.5000, 0.5000).



(23)
A plane-wave DFT calculation with PBE was carried out for crystalline ScSb at its relaxed geometry.

The density of states at the Fermi level is 1.2573 states/eV per atom. Its crystal system is cubic. The value obtained for the final energy is -5.830 eV/atom. As for the formation energy without anion corrections: -603 meV/atom. The total moment is 0.2 μB/cell.

It has space group Pm-3m (No. 221), with a = 3.6205 Å, b = 3.6205 Å, c = 3.6205 Å, α = 90.00°, β = 90.00° and γ = 90.00°. Symmetry generates all atoms from Sc at (0.0000, 0.0000, 0.0000) and Sb at (0.5000, 0.5000, 0.5000).